First-principles (GGA+U) data for NiB2O4 after structural relaxation, as listed in Alexandria via LeMat-Bulk.

## Properties
Space group ... R-3m, No. 166
Energy ... -6.846 eV/atom

Cell lengths 2.643, 2.643, 9.629 Å; angles 82.11, 82.11, 60.00 degrees
Site moments in Bohr magnetons follow the coordinates.
Element x y z (fractional)
O: 0.888 0.888 0.335  0.01
O: 0.711 0.711 0.867  0.11
O: 0.289 0.289 0.133  0.11
O: 0.112 0.112 0.665  0.01
B: 0.240 0.240 0.279  0.01
B: 0.760 0.760 0.721  0.01
Ni: 0.000 0.000 0.000  1.72